# 1
A plane-wave DFT calculation with PBE was carried out for a relaxed structure of Nb3CdTe.

Geometry as extended XYZ:
```
5
Lattice="5.035 0.000 0.000 0.000 5.035 0.000 0.000 0.000 5.035" Properties=species:S:1:pos:R:3 pbc="T T T"
Nb 0.000 0.000 2.518
Nb 0.000 2.518 0.000
Nb 2.518 0.000 0.000
Cd 0.000 0.000 0.000
Te 2.518 2.518 2.518
```

- energy (eV per atom) = -5.13
- total magnetic moment (μB/f.u.) = 0.00

=====

# 2
A plane-wave DFT calculation with PBE was carried out for a relaxed structure of NbCdTe3.

Geometry as extended XYZ:
```
5
Lattice="5.451 0.000 0.000 0.000 5.451 0.000 0.000 0.000 5.451" Properties=species:S:1:pos:R:3 pbc="T T T"
Nb 0.000 0.000 0.000
Cd 2.725 2.725 2.725
Te 0.000 0.000 2.725
Te 0.000 2.725 0.000
Te 2.725 0.000 0.000
```

- energy (eV per atom) = -3.97
- total magnetic moment (μB/f.u.) = 0.00

=====

# 3
A plane-wave DFT calculation with PBE was carried out for a relaxed structure of Th2NbCd.

Geometry as extended XYZ:
```
12
Lattice="3.267 0.000 0.000 -1.634 2.829 0.000 0.000 0.000 35.203" Properties=species:S:1:pos:R:3 pbc="T T T"
Th 0.000 0.000 2.948
Th 0.000 0.000 32.255
Th 0.000 1.886 20.521
Th 0.000 1.886 26.417
Th 1.634 0.943 8.787
Th 1.634 0.943 14.682
Nb 0.000 0.000 0.000
Nb 0.000 1.886 23.469
Nb 1.634 0.943 11.734
Cd 0.000 0.000 17.602
Cd 0.000 1.886 5.867
Cd 1.634 0.943 29.336
```

- total magnetic moment (μB/f.u.) = 0.00
- calculated formation energy (eV/atom) = 0.474

=====

# 4
A plane-wave DFT calculation with PBE was carried out for a relaxed structure of ThNbCd.

Geometry as extended XYZ:
```
12
Lattice="11.290 0.000 0.000 0.000 4.969 0.000 -0.857 0.000 5.395" Properties=species:S:1:pos:R:3 pbc="T T T"
Th 1.132 0.000 1.696
Th 3.655 2.484 3.699
Th 6.777 2.484 1.696
Th 9.300 0.000 3.699
Nb 1.683 0.000 4.665
Nb 3.105 2.484 0.730
Nb 7.327 2.484 4.665
Nb 8.750 0.000 0.730
Cd 0.175 2.484 4.066
Cd 4.613 0.000 1.328
Cd 5.820 0.000 4.066
Cd 10.258 2.484 1.328
```

- total magnetic moment (μB/f.u.) = 0.00
- calculated formation energy (eV/atom) = 0.204

=====

# 5
A plane-wave DFT calculation with PBE was carried out for a relaxed structure of Th2NbCd.

Geometry as extended XYZ:
```
4
Lattice="3.696 0.000 0.000 0.000 3.696 0.000 0.000 0.000 8.018" Properties=species:S:1:pos:R:3 pbc="T T T"
Th 0.000 0.000 1.805
Th 0.000 0.000 6.213
Nb 1.848 1.848 0.000
Cd 1.848 1.848 4.009
```

- total magnetic moment (μB/f.u.) = 0.00
- calculated formation energy (eV/atom) = 0.117

=====

# 6
A plane-wave DFT calculation with PBE was carried out for a relaxed structure of ThZrNbCd.

Geometry as extended XYZ:
```
16
Lattice="7.242 0.000 0.000 0.000 7.242 0.000 0.000 0.000 7.242" Properties=species:S:1:pos:R:3 pbc="T T T"
Th 0.000 0.000 0.000
Th 0.000 3.621 3.621
Th 3.621 0.000 3.621
Th 3.621 3.621 0.000
Zr 0.000 0.000 3.621
Zr 0.000 3.621 0.000
Zr 3.621 0.000 0.000
Zr 3.621 3.621 3.621
Nb 1.810 1.810 5.431
Nb 1.810 5.431 1.810
Nb 5.431 1.810 1.810
Nb 5.431 5.431 5.431
Cd 1.810 1.810 1.810
Cd 1.810 5.431 5.431
Cd 5.431 1.810 5.431
Cd 5.431 5.431 1.810
```

- total magnetic moment (μB/f.u.) = 0.00
- calculated formation energy (eV/atom) = 0.117

=====

# 7
A plane-wave DFT calculation with PBE was carried out for a relaxed structure of Ti2Nb2Cd3.

Geometry as extended XYZ:
```
14
Lattice="2.922 0.000 0.000 0.000 33.670 0.000 -0.894 0.000 2.755" Properties=species:S:1:pos:R:3 pbc="T T T"
Ti 0.000 5.026 0.000
Ti 0.000 28.644 0.000
Ti 1.461 11.809 0.000
Ti 1.461 21.861 0.000
Nb -0.447 9.683 1.377
Nb -0.447 23.987 1.377
Nb 1.014 7.152 1.377
Nb 1.014 26.518 1.377
Cd 0.000 0.000 0.000
Cd -0.447 14.217 1.377
Cd -0.447 19.453 1.377
Cd 1.014 2.618 1.377
Cd 1.461 16.835 0.000
Cd 1.014 31.052 1.377
```

- total magnetic moment (μB/f.u.) = 0.00
- calculated formation energy (eV/atom) = 0.050

=====

# 8
A plane-wave DFT calculation with PBE was carried out for a relaxed structure of Ti2Nb3Cd2.

Geometry as extended XYZ:
```
14
Lattice="3.341 0.000 0.000 0.000 24.925 0.000 0.000 0.000 3.278" Properties=species:S:1:pos:R:3 pbc="T T T"
Ti 0.000 3.153 0.000
Ti 0.000 21.771 0.000
Ti 1.671 9.309 0.000
Ti 1.671 15.615 0.000
Nb 0.000 0.000 0.000
Nb 0.000 10.800 1.639
Nb 0.000 14.125 1.639
Nb 1.671 1.663 1.639
Nb 1.671 12.462 0.000
Nb 1.671 23.262 1.639
Cd 0.000 7.434 1.639
Cd 0.000 17.490 1.639
Cd 1.671 5.028 1.639
Cd 1.671 19.897 1.639
```

- total magnetic moment (μB/f.u.) = 0.00
- calculated formation energy (eV/atom) = 0.017

=====

# 9
A plane-wave DFT calculation with PBE was carried out for a relaxed structure of Ti7Nb2Cd.

Geometry as extended XYZ:
```
10
Lattice="3.481 -6.596 0.000 3.481 6.596 0.000 0.000 0.000 4.766" Properties=species:S:1:pos:R:3 pbc="T T T"
Ti 0.000 0.000 0.000
Ti 2.265 1.394 0.000
Ti 3.481 3.295 2.383
Ti 2.265 -1.394 0.000
Ti 4.696 1.394 0.000
Ti 3.481 -3.295 2.383
Ti 4.696 -1.394 0.000
Nb 3.481 3.795 0.000
Nb 3.481 -3.795 0.000
Cd 3.481 0.000 2.383
```

- total magnetic moment (μB/f.u.) = 0.00
- calculated formation energy (eV/atom) = 0.787

=====

# 10
A plane-wave DFT calculation with PBE was carried out for a relaxed structure of Ti2NbCd.

Geometry as extended XYZ:
```
12
Lattice="3.030 0.000 0.000 -1.515 2.624 0.000 0.000 0.000 28.463" Properties=species:S:1:pos:R:3 pbc="T T T"
Ti 0.000 0.000 6.992
Ti 0.000 0.000 21.472
Ti 0.000 1.749 11.984
Ti 0.000 1.749 25.967
Ti 1.515 0.875 2.496
Ti 1.515 0.875 16.479
Nb 0.000 0.000 14.232
Nb 0.000 1.749 4.744
Nb 1.515 0.875 23.719
Cd 0.000 0.000 0.000
Cd 0.000 1.749 18.976
Cd 1.515 0.875 9.488
```

- total magnetic moment (μB/f.u.) = 0.00
- calculated formation energy (eV/atom) = 0.099

=====

# 11
A plane-wave DFT calculation with PBE was carried out for a relaxed structure of Ti2NbCd2.

Geometry as extended XYZ:
```
10
Lattice="2.871 0.000 0.000 0.000 23.334 0.000 0.000 0.000 2.891" Properties=species:S:1:pos:R:3 pbc="T T T"
Ti 0.000 2.159 0.000
Ti 0.000 21.174 0.000
Ti 1.435 9.507 0.000
Ti 1.435 13.826 0.000
Nb 0.000 11.667 1.445
Nb 1.435 0.000 1.445
Cd 0.000 7.187 1.445
Cd 0.000 16.147 1.445
Cd 1.435 4.480 1.445
Cd 1.435 18.853 1.445
```

- total magnetic moment (μB/f.u.) = 0.00
- calculated formation energy (eV/atom) = 0.056

=====

# 12
A plane-wave DFT calculation with PBE was carried out for a relaxed structure of Ti2NbCd.

Geometry as extended XYZ:
```
4
Lattice="4.354 0.000 0.000 0.000 4.354 0.000 0.000 0.000 3.788" Properties=species:S:1:pos:R:3 pbc="T T T"
Ti 0.000 2.177 0.000
Ti 2.177 0.000 0.000
Nb 0.000 0.000 1.894
Cd 2.177 2.177 1.894
```

- total magnetic moment (μB/f.u.) = 0.00
- calculated formation energy (eV/atom) = 0.056

=====

What are the N(E_F) values for these records? In order: 1.80, 0.85, 1.34, 1.18, 1.15, 1.23, 0.78, 1.00, 1.46, 1.17, 1.04, 1.22 states/eV per atom.